No. 1
The following is a DFT calculation (PBE-GGA) of an optimized crystal structure of NiIrPb.

Calculated values
Crystal system: cubic
Formation energy from the elements (eV/atom): 0.444
Fermi-level density of states (states/eV per cell): 15.2
Size of the total moment (μB per formula unit): 0.00
Total energy (eV per atom): -5.6731
Distance to the lowest polymorph of the same formula (meV per atom): 0

Lattice parameters (Å, degrees): 6.0138 6.0138 6.0138 90.00 90.00 90.00
Closest atoms and distances in Å follow each position.
Space group F-43m (No. 216)
Asymmetric unit:
Ni: 0.0000 0.0000 0.0000 x4  4 Pb 2.60, 4 Ir 2.60
Ir: 0.2500 0.2500 0.7500 x4  4 Ni 2.60
Pb: 0.2500 0.2500 0.2500 x4  4 Ni 2.60

=====

No. 2
The following is a DFT calculation (PBE-GGA) of an optimized crystal structure of Ni2IrPb.

Calculated values
Crystal system: cubic
Formation energy from the elements (eV/atom): 0.328
Fermi-level density of states (states/eV per cell): 20.4
Size of the total moment (μB per formula unit): 0.01
Total energy (eV per atom): -5.7052

Lattice parameters (Å, degrees): 6.2254 6.2254 6.2254 90.00 90.00 90.00
Closest atoms and distances in Å follow each position.
Space group F-43m (No. 216)
Asymmetric unit:
Ni: 0.0000 0.0000 0.0000 x4  4 Ni 2.70, 4 Ir 2.70
Ni: 0.2500 0.2500 0.2500 x4  4 Pb 2.70, 4 Ni 2.70
Ir: 0.2500 0.2500 0.7500 x4  4 Pb 2.70, 4 Ni 2.70
Pb: 0.0000 0.0000 0.5000 x4  4 Ni 2.70, 4 Ir 2.70

=====

No. 3
The following is a DFT calculation (PBE-GGA) of an optimized crystal structure of Ni3IrPb.

Calculated values
Crystal system: cubic
Formation energy from the elements (eV/atom): 0.907
Fermi-level density of states (states/eV per cell): 6.5
Size of the total moment (μB per formula unit): 2.68
Total energy (eV per atom): -5.0759
Distance to the lowest polymorph of the same formula (meV per atom): 0

Lattice parameters (Å, degrees): 4.6096 4.6096 4.6096 90.00 90.00 90.00
Closest atoms and distances in Å follow each position.
Space group Pm-3m (No. 221)
Asymmetric unit:
Ni: 0.0000 0.0000 0.5000 x3  2 Ir 2.30
Ir: 0.0000 0.0000 0.0000 x1  6 Ni 2.30
Pb: 0.5000 0.5000 0.5000 x1  12 Ni 3.26

=====

No. 4
The following is a DFT calculation (PBE-GGA) of an optimized crystal structure of NiIrPb2.

Calculated values
Crystal system: cubic
Formation energy from the elements (eV/atom): 0.646
Fermi-level density of states (states/eV per cell): 9.0
Size of the total moment (μB per formula unit): 0.00
Total energy (eV per atom): -4.8685
Distance to the lowest polymorph of the same formula (meV per atom): 434

Lattice parameters (Å, degrees): 6.8408 6.8408 6.8408 90.00 90.00 90.00
Closest atoms and distances in Å follow each position.
Space group F-43m (No. 216)
Asymmetric unit:
Ni: 0.0000 0.0000 0.0000 x4  4 Pb 2.96, 4 Ir 2.96
Ir: 0.2500 0.2500 0.2500 x4  4 Pb 2.96, 4 Ni 2.96
Pb: 0.0000 0.0000 0.5000 x4  4 Pb 2.96, 4 Ir 2.96
Pb: 0.2500 0.2500 0.7500 x4  4 Pb 2.96, 4 Ni 2.96